Material: TlCoBr2
Method: DFT, PBE-GGA
State: relaxed

## Properties
Energy relative to the elements, uncorrected: 0.086 eV/atom
Space-group type: P4/mmm (123)
Distance to the lowest polymorph of the same formula: 1.34 eV/f.u.

Cell: 3.420 3.420 8.329 Å, 90.00 90.00 90.00°
Site moments in Bohr magnetons follow the coordinates.
Fractional positions:
Br  0.000  0.000  0.059  0.08
Co  0.500  0.500  0.250  2.08
Br  0.000  0.000  0.441  0.08
Tl  0.500  0.500  0.750  -0.06